Entry 1:
UGePt2 after structural relaxation. Source: the Alexandria database, functional PBE.

**Calculated formation energy**: -0.4124 eV/atom

Geometry as POSCAR:
```
UGePt2
1.0
-1.183 -3.594 0.979
2.839 -1.312 -1.384
0.098 1.669 6.245
Pt Ge U
2 1 1
Direct
0.000 0.746 0.743
0.000 0.254 0.257
0.500 0.000 0.500
0.500 0.500 0.000
```

=====

Entry 2:
ThAlOsC after structural relaxation. Source: the Alexandria database, functional PBE.

**Calculated formation energy**: -0.2034 eV/atom

Geometry as POSCAR:
```
ThAlOsC
1.0
-0.499 -3.800 -0.620
3.838 -0.539 0.218
-0.717 -1.400 9.152
Th Al Os C
2 2 2 2
Direct
0.500 0.000 0.144
0.000 0.500 0.856
0.000 0.500 0.328
0.500 0.000 0.672
0.000 0.000 0.500
0.500 0.500 0.500
0.500 0.000 0.884
0.000 0.500 0.116
```

=====

Entry 3:
ThCu4Si2 after structural relaxation. Source: the Alexandria database, functional PBE.

**Energy relative to the elements, uncorrected**: -0.39 eV/atom

Geometry as POSCAR:
```
ThCu4Si2
1.0
4.107 0.000 0.000
0.000 3.935 -1.169
0.000 -0.143 6.725
Si Cu Th
2 4 1
Direct
0.500 0.595 0.190
0.500 0.405 0.810
0.000 0.312 0.623
0.000 0.688 0.377
0.500 0.811 0.622
0.500 0.189 0.378
0.000 0.000 0.000
```

=====

Entry 4:
Ho4Bi2Pd after structural relaxation. Source: the Alexandria database, functional PBE.

**Calculated formation energy**: -0.6403 eV/atom

Geometry as POSCAR:
```
Ho4Bi2Pd
1.0
-4.985 0.616 4.751
2.576 -5.050 3.358
8.591 5.019 0.956
Ho Bi Pd
8 4 2
Direct
0.836 0.250 0.164
0.631 0.509 0.791
0.369 0.491 0.209
0.631 0.991 0.791
0.369 0.009 0.209
0.868 0.250 0.561
0.164 0.750 0.836
0.132 0.750 0.439
0.703 0.750 0.524
0.297 0.250 0.476
0.673 0.750 0.115
0.327 0.250 0.885
0.011 0.750 0.050
0.989 0.250 0.950
```

=====

Entry 5:
TmNi3B after structural relaxation. Source: the Alexandria database, functional PBE.

**Calculated formation energy**: -0.4200 eV/atom

Geometry as POSCAR:
```
TmNi3B
1.0
-1.178 -5.133 1.885
4.998 1.065 -2.276
3.294 2.294 8.305
Ni B Tm
12 4 4
Direct
0.308 0.154 0.250
0.846 0.692 0.250
0.000 0.500 0.500
0.692 0.846 0.750
0.500 0.500 0.000
0.000 0.500 0.000
0.500 0.000 0.000
0.154 0.308 0.750
0.154 0.846 0.750
0.500 0.500 0.500
0.846 0.154 0.250
0.500 0.000 0.500
0.667 0.333 0.141
0.667 0.333 0.359
0.333 0.667 0.859
0.333 0.667 0.641
0.667 0.333 0.750
0.000 0.000 0.500
0.333 0.667 0.250
0.000 0.000 0.000
```

=====

Entry 6:
UP2OsRu2 after structural relaxation. Source: the Alexandria database, functional PBE.

**Calculated formation energy**: -0.5351 eV/atom

Geometry as POSCAR:
```
UP2OsRu2
1.0
3.836 0.000 0.000
0.000 7.480 0.000
0.000 0.000 6.581
P Os U Ru
4 2 2 4
Direct
0.000 0.182 0.867
0.000 0.682 0.133
0.500 0.791 0.637
0.500 0.291 0.363
0.500 0.109 0.652
0.500 0.609 0.348
0.000 0.486 0.651
0.000 0.986 0.349
0.000 0.373 0.155
0.500 0.104 0.073
0.500 0.604 0.927
0.000 0.873 0.845
```

=====

Listing calculated total energy for the structures above in their given order: -7.409; -8.107; -5.345; -5.107; -6.119; -9.183 eV per atom.